Record 1
An optimized crystal structure of LiCu3WS4, computed with PBE.

Cell and atoms, written as POSCAR:
```
LiCu3WS4
1.0
5.4942 0.0000 0.0000
0.0000 5.4942 0.0000
0.0000 0.0000 5.4942
Li Cu W S
1 3 1 4
Direct
0.0000 0.0000 0.0000 Li
0.0000 0.5000 0.5000 Cu
0.5000 0.0000 0.5000 Cu
0.5000 0.5000 0.0000 Cu
0.5000 0.5000 0.5000 W
0.2551 0.2551 0.2551 S
0.2551 0.7449 0.7449 S
0.7449 0.2551 0.7449 S
0.7449 0.7449 0.2551 S
```

Computed properties:
- energy (eV per cell) = -45.43

***

Record 2
An optimized crystal structure of LiCuWS3, computed with PBE.

Cell and atoms, written as POSCAR:
```
LiCuWS3
1.0
1.6585 -6.1873 0.0000
1.6585 6.1873 0.0000
0.0000 0.0000 9.2076
Li Cu W S
2 2 2 6
Direct
0.2358 0.7642 0.7500 Li
0.7642 0.2358 0.2500 Li
0.4623 0.5377 0.2500 Cu
0.5377 0.4623 0.7500 Cu
0.0000 0.0000 0.0000 W
0.0000 0.0000 0.5000 W
0.0927 0.9073 0.2500 S
0.3583 0.6417 0.0520 S
0.3583 0.6417 0.4480 S
0.6417 0.3583 0.5520 S
0.6417 0.3583 0.9480 S
0.9073 0.0927 0.7500 S
```

Computed properties:
- energy (eV per cell) = -67.59

***

Record 3
An optimized crystal structure of LiZrCu3S4, computed with PBE.

Cell and atoms, written as POSCAR:
```
LiZrCu3S4
1.0
5.7745 0.0000 0.0000
0.0000 7.4028 0.0000
-2.1574 0.0000 8.7579
Li Zr Cu S
2 2 6 8
Direct
0.1474 0.2500 0.1948 Li
0.8526 0.7500 0.8052 Li
0.2841 0.2500 0.7063 Zr
0.7159 0.7500 0.2937 Zr
0.2112 0.7500 0.2363 Cu
0.2655 0.5598 0.4845 Cu
0.2655 0.9402 0.4845 Cu
0.7345 0.0598 0.5155 Cu
0.7345 0.4402 0.5155 Cu
0.7888 0.2500 0.7637 Cu
0.0107 0.2500 0.4461 S
0.1353 0.2500 0.9296 S
0.4439 0.0063 0.2826 S
0.4439 0.4937 0.2826 S
0.5561 0.5063 0.7174 S
0.5561 0.9937 0.7174 S
0.8647 0.7500 0.0704 S
0.9893 0.7500 0.5539 S
```

Computed properties:
- energy (eV per cell) = -89.87

***

Record 4
An optimized crystal structure of LiZrCu3S4, computed with PBE.

Cell and atoms, written as POSCAR:
```
LiZrCu3S4
1.0
5.6015 0.0000 0.0000
0.0000 5.6015 0.0000
0.0000 0.0000 5.6015
Li Zr Cu S
1 1 3 4
Direct
0.0000 0.0000 0.0000 Li
0.5000 0.5000 0.5000 Zr
0.0000 0.5000 0.5000 Cu
0.5000 0.0000 0.5000 Cu
0.5000 0.5000 0.0000 Cu
0.2516 0.2516 0.2516 S
0.2516 0.7484 0.7484 S
0.7484 0.2516 0.7484 S
0.7484 0.7484 0.2516 S
```

Computed properties:
- energy (eV per cell) = -45.42

***

Record 5
An optimized crystal structure of LiCu2Sb, computed with PBE.

Cell and atoms, written as POSCAR:
```
LiCu2Sb
1.0
6.2446 0.0000 0.0000
0.0000 6.2446 0.0000
0.0000 0.0000 6.2446
Li Cu Sb
4 8 4
Direct
0.0000 0.0000 0.0000 Li
0.0000 0.0000 0.5000 Li
0.0000 0.5000 0.0000 Li
0.5000 0.0000 0.0000 Li
0.2207 0.2207 0.2207 Cu
0.2207 0.2207 0.7793 Cu
0.2207 0.7793 0.2207 Cu
0.2207 0.7793 0.7793 Cu
0.7793 0.2207 0.2207 Cu
0.7793 0.2207 0.7793 Cu
0.7793 0.7793 0.2207 Cu
0.7793 0.7793 0.7793 Cu
0.0000 0.5000 0.5000 Sb
0.5000 0.0000 0.5000 Sb
0.5000 0.5000 0.0000 Sb
0.5000 0.5000 0.5000 Sb
```

Computed properties:
- energy (eV per cell) = -53.79

***

Record 6
An optimized crystal structure of LiCuSb, computed with PBE.

Cell and atoms, written as POSCAR:
```
LiCuSb
1.0
3.9452 0.0000 0.0000
0.0000 3.9452 0.0000
0.0000 0.0000 4.8511
Li Cu Sb
1 1 1
Direct
0.0000 0.0000 0.0000 Li
0.5000 0.5000 0.5000 Cu
0.5000 0.5000 0.0000 Sb
```

Computed properties:
- energy (eV per cell) = -9.31

***

Record 7
An optimized crystal structure of Li2Cu3Sb2, computed with PBE.

Cell and atoms, written as POSCAR:
```
Li2Cu3Sb2
1.0
2.1653 1.2502 7.0379
-2.1653 1.2502 7.0379
0.0000 -2.5003 7.0379
Li Cu Sb
2 3 2
Direct
0.0000 0.0000 0.0000 Li
0.4843 0.4843 0.4843 Li
0.3627 0.3627 0.3627 Cu
0.6172 0.6172 0.6172 Cu
0.8671 0.8671 0.8671 Cu
0.2361 0.2361 0.2361 Sb
0.7428 0.7428 0.7428 Sb
```

Computed properties:
- energy (eV per cell) = -24.96

***

Record 8
An optimized crystal structure of Li2CuSb, computed with PBE.

Cell and atoms, written as POSCAR:
```
Li2CuSb
1.0
0.0000 3.1310 3.1310
3.1310 0.0000 3.1310
3.1310 3.1310 0.0000
Li Cu Sb
2 1 1
Direct
0.0000 0.0000 0.0000 Li
0.2500 0.2500 0.2500 Li
0.7500 0.7500 0.7500 Cu
0.5000 0.5000 0.5000 Sb
```

Computed properties:
- energy (eV per cell) = -13.35

***

Q: Which value of energy does entry 6 give?
A: -9.31 eV per cell